(1)
## YHF (GGA-PBE)

Data for crystalline YHF at its relaxed geometry.

## Properties
ρ ... 4.50 Mg/m³

abc: 5.4385 5.4385 5.4385
angles: 90.00 90.00 90.00
Closest atoms and distances in Å follow each position.
Element x y z (fractional)
1 Y 0.0000 0.0000 0.0000  4 H 2.35, 4 F 2.35
2 Y 0.0000 0.5000 0.5000  4 F 2.35, 4 H 2.35
3 Y 0.5000 0.0000 0.5000  4 F 2.35, 4 H 2.35
4 Y 0.5000 0.5000 0.0000  4 F 2.35, 4 H 2.35
5 H 0.2500 0.2500 0.7500  4 Y 2.35
6 H 0.2500 0.7500 0.2500  4 Y 2.35
7 H 0.7500 0.2500 0.2500  4 Y 2.35
8 H 0.7500 0.7500 0.7500  4 Y 2.35
9 F 0.2500 0.2500 0.2500  4 Y 2.35
10 F 0.2500 0.7500 0.7500  4 Y 2.35
11 F 0.7500 0.2500 0.7500  4 Y 2.35
12 F 0.7500 0.7500 0.2500  4 Y 2.35

***

(2)
## YHF (GGA-PBE)

Data for crystalline YHF at its relaxed geometry.

## Properties
ρ ... 4.86 Mg/m³

abc: 3.2257 3.2257 7.1501
angles: 90.00 90.00 90.00
Closest atoms and distances in Å follow each position.
Element x y z (fractional)
1 Y 0.0000 0.0000 0.0000  1 F 2.28, 4 H 2.47
2 Y 0.5000 0.5000 0.5000  1 F 2.28, 4 H 2.47
3 H 0.0000 0.0000 0.3678  1 F 2.24, 4 Y 2.47
4 H 0.5000 0.5000 0.8678  1 F 2.24, 4 Y 2.47
5 F 0.0000 0.0000 0.6810  1 H 2.24, 1 Y 2.28
6 F 0.5000 0.5000 0.1810  1 H 2.24, 1 Y 2.28

***

(3)
## YHF (GGA-PBE)

Data for crystalline YHF at its relaxed geometry.

## Properties
ρ ... 3.97 Mg/m³

abc: 3.8595 3.8595 3.5319
angles: 90.00 90.00 120.00
Closest atoms and distances in Å follow each position.
Element x y z (fractional)
1 Y 0.0000 0.0000 0.0000  3 F 2.30, 3 H 2.34
2 H 0.6667 0.3333 0.1995  3 Y 2.34, 3 F 2.57
3 F 0.3333 0.6667 0.8395  3 Y 2.30, 3 H 2.57

***

(4)
## YHF (GGA-PBE)

Data for crystalline YHF at its relaxed geometry.

## Properties
ρ ... 4.52 Mg/m³

abc: 3.8985 3.8985 5.2598
angles: 90.00 90.00 90.00
Closest atoms and distances in Å follow each position.
Element x y z (fractional)
1 Y 0.0000 0.5000 0.0000  4 F 2.35, 4 H 2.35
2 Y 0.5000 0.0000 0.5000  4 F 2.35, 4 H 2.35
3 H 0.0000 0.0000 0.2500  4 Y 2.35, 2 H 2.63
4 H 0.0000 0.0000 0.7500  4 Y 2.35, 2 H 2.63
5 F 0.5000 0.5000 0.2500  4 Y 2.35, 2 F 2.63
6 F 0.5000 0.5000 0.7500  4 Y 2.35, 2 F 2.63

***

According to the calculations, the structures order from most to least stable as (4), (1), (3), (2).

***

(1)
## YHF (GGA-PBE)

Data for crystalline YHF at its relaxed geometry.

## Properties
ρ ... 4.68 Mg/m³

abc: 3.6499 3.7057 5.7103
angles: 90.00 90.00 90.00
Closest atoms and distances in Å follow each position.
Element x y z (fractional)
1 Y 0.0000 0.0000 0.0000  2 H 2.29, 4 F 2.42
2 Y 0.5000 0.5000 0.4448  3 H 2.17-2.18
3 H 0.5000 0.0000 0.2427  2 H 2.11, 4 Y 2.18-2.29
4 H 0.5000 0.5000 0.0647  2 H 2.11, 1 Y 2.17
5 F 0.0000 0.5000 0.7265  4 Y 2.42-2.43, 4 F 2.60, 2 H 2.66
6 F 0.5000 0.0000 0.7228  4 Y 2.42-2.44, 4 F 2.60, 2 H 2.69

***

(2)
## YHF (GGA-PBE)

Data for crystalline YHF at its relaxed geometry.

## Properties
ρ ... 4.67 Mg/m³

abc: 3.6892 3.6892 5.6885
angles: 90.00 90.00 90.00
Closest atoms and distances in Å follow each position.
Element x y z (fractional)
1 Y 0.2500 0.2500 0.2248  4 H 2.24, 4 F 2.42
2 Y 0.7500 0.7500 0.7752  4 H 2.24, 4 F 2.42
3 H 0.2500 0.7500 0.0000  4 Y 2.24
4 H 0.7500 0.2500 0.0000  4 Y 2.24
5 F 0.2500 0.7500 0.5000  4 Y 2.42, 4 F 2.61
6 F 0.7500 0.2500 0.5000  4 Y 2.42, 4 F 2.61

***

According to the calculations, the structures order from most to least stable as (2), (1).

***

(1)
## YHF (GGA-PBE)

Data for crystalline YHF at its relaxed geometry.

## Properties
ρ ... 4.69 Mg/m³

abc: 6.7626 6.7626 6.7626
angles: 32.00 32.00 32.00
Closest atoms and distances in Å follow each position.
Element x y z (fractional)
1 Y 0.2386 0.2386 0.2386  4 H 2.22, 3 F 2.42
2 Y 0.7614 0.7614 0.7614  4 H 2.22, 3 F 2.42
3 H 0.1234 0.1234 0.1234  4 Y 2.22
4 H 0.8766 0.8766 0.8766  4 Y 2.22
5 F 0.3706 0.3706 0.3706  4 Y 2.42-2.54, 3 F 2.58
6 F 0.6294 0.6294 0.6294  4 Y 2.42-2.54, 3 F 2.58

***

(2)
## YHF (GGA-PBE)

Data for crystalline YHF at its relaxed geometry.

## Properties
ρ ... 4.70 Mg/m³

abc: 3.6286 3.6286 11.6926
angles: 90.00 90.00 90.00
Closest atoms and distances in Å follow each position.
Element x y z (fractional)
1 Y 0.0000 0.0000 0.1396  4 H 2.23, 4 F 2.44
2 Y 0.0000 0.0000 0.8604  4 H 2.23, 4 F 2.44
3 Y 0.5000 0.5000 0.3604  4 H 2.23, 4 F 2.44
4 Y 0.5000 0.5000 0.6396  4 H 2.23, 4 F 2.44
5 H 0.0000 0.5000 0.2500  4 Y 2.23
6 H 0.0000 0.5000 0.7500  4 Y 2.23
7 H 0.5000 0.0000 0.2500  4 Y 2.23
8 H 0.5000 0.0000 0.7500  4 Y 2.23
9 F 0.0000 0.5000 0.0000  4 Y 2.44, 4 F 2.57
10 F 0.0000 0.5000 0.5000  4 Y 2.44, 4 F 2.57
11 F 0.5000 0.0000 0.0000  4 Y 2.44, 4 F 2.57
12 F 0.5000 0.0000 0.5000  4 Y 2.44, 4 F 2.57

***

(3)
## YHF (GGA-PBE)

Data for crystalline YHF at its relaxed geometry.

## Properties
ρ ... 4.17 Mg/m³

abc: 7.1097 6.9793 5.4194
angles: 68.66 66.11 45.23
Closest atoms and distances in Å follow each position.
Element x y z (fractional)
1 Y 0.1238 0.6262 0.1238  2 H 2.01
2 Y 0.3738 0.8762 0.3738  2 H 2.01
3 Y 0.6262 0.1238 0.6262  2 H 2.01
4 Y 0.8762 0.3738 0.8762  2 H 2.01
5 H 0.0000 0.5000 0.5000  2 Y 2.01
6 H 0.5000 0.0000 0.5000  2 Y 2.01
7 H 0.5000 0.5000 0.0000  2 Y 2.01
8 H 0.5000 0.5000 0.5000  2 Y 2.01
9 F 0.0052 0.0052 0.2448  4 Y 2.41-2.42
10 F 0.2448 0.2448 0.0052  4 Y 2.41-2.42
11 F 0.7552 0.7552 0.9948  4 Y 2.41-2.42
12 F 0.9948 0.9948 0.7552  4 Y 2.41-2.42

***

(4)
## YHF (GGA-PBE)

Data for crystalline YHF at its relaxed geometry.

## Properties
ρ ... 4.48 Mg/m³

abc: 3.8716 3.6561 5.7047
angles: 90.00 91.76 90.00
Closest atoms and distances in Å follow each position.
Element x y z (fractional)
1 Y 0.2176 0.2500 0.2295  3 H 2.11-2.19
2 Y 0.7824 0.7500 0.7705  3 H 2.11-2.19
3 H 0.0584 0.2500 0.8731  3 Y 2.11-2.19
4 H 0.9416 0.7500 0.1269  3 Y 2.11-2.19
5 F 0.2630 0.7500 0.5185  4 Y 2.39-2.46, 1 H 2.52, 2 F 2.60
6 F 0.7370 0.2500 0.4815  4 Y 2.39-2.46, 1 H 2.52, 2 F 2.60

***

According to the calculations, the structures order from most to least stable as (1), (2), (4), (3).